No. 1
Be3TeS after structural relaxation, computed with GGA-PBE.

Computed properties:
Formation energy from raw total energies in eV/atom: 0.53
DFT total energy in eV/cell: -15.821
Total moment in μB per cell: 0.0
N(E_F) in states/eV/atom: 0.4781
ΔE to the lowest computed polymorph in meV/atom: 0

Cell: 4.2895 4.2895 4.2895 Å, 90.00 90.00 90.00°
Closest atoms and distances in Å follow each position.
Sites, in units of the cell vectors:
Be (0.0000, 0.0000, 0.5000)  2 S 2.14
Be (0.0000, 0.5000, 0.0000)  2 S 2.14
Be (0.5000, 0.0000, 0.0000)  2 S 2.14
Te (0.5000, 0.5000, 0.5000)  12 Be 3.03
S (0.0000, 0.0000, 0.0000)  6 Be 2.14

No. 2
Li2CdSbBr6 after structural relaxation, computed with GGA-PBE.

Computed properties:
Formation energy from raw total energies in eV/atom: -0.90
DFT total energy in eV/cell: -27.917
Total moment in μB per cell: 1.0
N(E_F) in states/eV/atom: 0.0056

Cell: 6.9186 7.1904 7.5096 Å, 115.22 90.24 115.38°
Closest atoms and distances in Å follow each position.
Sites, in units of the cell vectors:
Li (0.0000, 0.0000, 0.0000)  5 Br 2.68-2.95
Li (0.4759, 0.9508, 0.4754)  5 Br 2.64-2.88
Cd (0.7979, 0.5595, 0.4119)  5 Br 2.67-2.95
Sb (0.2883, 0.5518, 0.9057)  4 Br 2.77-2.93
Br (0.0768, 0.7756, 0.1981)  2 Li 2.81-2.88, 1 Cd 2.88, 1 Sb 2.93
Br (0.2038, 0.7693, 0.6973)  2 Li 2.79-2.95, 1 Sb 2.85, 1 Cd 2.88
Br (0.3642, 0.4146, 0.1872)  1 Li 2.68, 1 Sb 2.82, 1 Cd 2.95
Br (0.5537, 0.3881, 0.6880)  1 Li 2.64, 1 Sb 2.77
Br (0.7329, 0.1212, 0.2271)  1 Cd 2.67, 2 Li 2.69-2.87
Br (0.8112, 0.9690, 0.6637)  2 Li 2.64-2.72, 1 Cd 2.70

> Look up the total moment of the second one.

1.0 μB per cell